This record from Alexandria via LeMat-Bulk describes a relaxed structure of AsF. The functional is PBE-GGA.

Cell and atoms, written as POSCAR:
```
AsF
1.0
0.000 4.079 6.715
2.863 0.000 6.715
2.863 4.079 0.000
As F
4 4
direct
0.085 0.665 0.665 As
0.335 0.915 0.915 As
0.665 0.085 0.085 As
0.915 0.335 0.335 As
0.155 0.155 0.595 F
0.405 0.405 0.845 F
0.595 0.595 0.155 F
0.845 0.845 0.405 F
```

Magnetic moment: 0.00 μB per formula unit
Uncorrected formation energy: -1.8 eV/f.u.
VASP energy: -33.1 eV per cell
SG: No. 70
E above lowest polymorph: 429 meV/atom